RbIn2PbI8 PBE-GGA relaxed; SG = R32, No. 155; total magnetization = 0.00 Bohr magnetons per cell; density of states at the Fermi level = 0.6000 states/eV per atom; crystal system = trigonal; uncorrected energy = -29.84 eV per cell
1.0
-3.7117 -6.2944 2.2786
3.6205 -5.2619 4.2182
-3.3748 1.6387 11.8855
I Rb In Pb
8 1 2 1
Direct
0.6666 0.6666 0.0003 I
0.5895 0.2177 0.3166 I
0.2177 0.8762 0.3166 I
0.8762 0.5895 0.3166 I
0.4105 0.1238 0.6834 I
0.3334 0.3334 0.9997 I
0.1238 0.7823 0.6834 I
0.7823 0.4105 0.6834 I
0.0000 0.0000 0.0000 Rb
0.7468 0.7468 0.7595 In
0.2532 0.2532 0.2405 In
0.5000 0.5000 0.5000 Pb

=====

Dy2ZrP3 PBE-GGA relaxed; SG = I4/mmm, No. 139; total magnetization = 0.00 Bohr magnetons per cell; energy relative to the elements = -1.504 eV per atom; density of states at the Fermi level = 0.2611 states/eV per atom; crystal system = tetragonal; uncorrected energy = -43.01 eV per cell
1.0
-1.9578 1.9578 8.2715
1.9578 -1.9578 8.2715
1.9578 1.9578 -8.2715
Dy P Zr
2 3 1
Direct
0.6665 0.6665 0.0000 Dy
0.3335 0.3335 0.0000 Dy
0.1620 0.1620 0.0000 P
0.8380 0.8380 0.0000 P
0.5000 0.5000 0.0000 P
0.0000 0.0000 0.0000 Zr

=====

Sb6OsAu PBE-GGA relaxed; SG = C2/m, No. 12; total magnetization = 0.00 Bohr magnetons per cell; density of states at the Fermi level = 0.3596 states/eV per atom; crystal system = monoclinic; uncorrected energy = -78.99 eV per cell
1.0
7.8664 -0.0953 -2.7629
-3.9423 6.8228 -2.7259
-0.0259 0.0048 8.2574
Os Sb Au
2 12 2
Direct
0.5000 0.0000 0.0000 Os
0.0000 0.5000 0.0000 Os
0.8480 0.6412 0.4892 Sb
0.5021 0.8564 0.6654 Sb
0.8090 0.1633 0.6654 Sb
0.1910 0.8367 0.3346 Sb
0.3323 0.4949 0.1411 Sb
0.3538 0.1913 0.8589 Sb
0.6677 0.5051 0.8589 Sb
0.6462 0.8087 0.1411 Sb
0.1523 0.6714 0.8237 Sb
0.1520 0.3588 0.5108 Sb
0.4979 0.1436 0.3346 Sb
0.8477 0.3286 0.1763 Sb
0.5000 0.5000 0.5000 Au
0.0000 0.0000 0.5000 Au

=====

Tb2SmHfP4 PBE-GGA relaxed; SG = P2/m, No. 10; total magnetization = 0.00 Bohr magnetons per cell; energy relative to the elements = -1.507 eV per atom; density of states at the Fermi level = 0.1812 states/eV per atom; crystal system = monoclinic; uncorrected energy = -57.63 eV per cell
1.0
3.9501 0.0000 0.0000
0.0000 6.8539 0.1349
0.0000 -2.3802 6.4179
P Tb Hf Sm
4 2 1 1
Direct
0.0000 0.2384 0.7549 P
0.5000 0.2334 0.2367 P
0.0000 0.7616 0.2451 P
0.5000 0.7666 0.7633 P
0.5000 0.0000 0.5000 Tb
0.0000 0.5000 0.5000 Tb
0.0000 0.0000 0.0000 Hf
0.5000 0.5000 0.0000 Sm